A) A plane-wave DFT calculation with PBE was carried out for a geometry-optimized DyUS4 structure.

Lattice parameters (Å, degrees): 6.250 6.250 4.098 90.00 90.00 91.06
Fractional coordinates of all 6 atoms:
Dy (0.000, 0.000, 0.000)
U (0.500, 0.500, 0.500)
S (0.204, 0.204, 0.500)
S (0.312, 0.688, 0.000)
S (0.688, 0.312, 0.000)
S (0.796, 0.796, 0.500)

SG = Cmmm

B) A plane-wave DFT calculation with PBE was carried out for a geometry-optimized DyUS4 structure.

Lattice parameters (Å, degrees): 6.877 6.877 6.872 99.13 99.13 34.05
Fractional coordinates of all 6 atoms:
Dy (0.000, 0.000, 0.000)
U (0.500, 0.500, 0.500)
S (0.106, 0.106, 0.381)
S (0.394, 0.394, 0.148)
S (0.606, 0.606, 0.852)
S (0.894, 0.894, 0.619)

SG = C2/m

The structure with the most favorable energy is B); the runner-up is 68 meV/atom above it.

A) A plane-wave DFT calculation with PBE was carried out for a geometry-optimized DyYS2 structure.

Lattice parameters (Å, degrees): 6.759 6.759 6.759 33.69 33.69 33.69
Fractional coordinates of all 4 atoms:
Dy (0.000, 0.000, 0.000)
Y (0.500, 0.500, 0.500)
S (0.250, 0.250, 0.250)
S (0.750, 0.750, 0.750)

SG = R-3m

B) A plane-wave DFT calculation with PBE was carried out for a geometry-optimized DyYS2 structure.

Lattice parameters (Å, degrees): 7.123 7.123 7.123 31.19 31.19 31.19
Fractional coordinates of all 4 atoms:
Dy (0.000, 0.000, 0.000)
Y (0.178, 0.178, 0.178)
S (0.588, 0.588, 0.588)
S (0.757, 0.757, 0.757)

SG = R3m

The structure with the most favorable energy is A); the runner-up is 33 meV/atom above it.

A) A plane-wave DFT calculation with PBE was carried out for a geometry-optimized DyY2S4 structure.

Lattice parameters (Å, degrees): 6.746 6.746 13.134 90.00 90.00 147.23
Fractional coordinates of all 14 atoms:
Dy (0.127, 0.873, 0.750)
Dy (0.873, 0.127, 0.250)
Y (0.370, 0.630, 0.570)
Y (0.370, 0.630, 0.930)
Y (0.630, 0.370, 0.070)
Y (0.630, 0.370, 0.430)
S (0.000, 0.000, 0.000)
S (0.000, 0.000, 0.500)
S (0.277, 0.723, 0.123)
S (0.277, 0.723, 0.377)
S (0.474, 0.526, 0.750)
S (0.526, 0.474, 0.250)
S (0.723, 0.277, 0.623)
S (0.723, 0.277, 0.877)

SG = Cmcm

B) A plane-wave DFT calculation with PBE was carried out for a geometry-optimized DyY2S4 structure.

Lattice parameters (Å, degrees): 7.440 7.440 6.898 115.37 115.37 30.76
Fractional coordinates of all 7 atoms:
Dy (0.000, 0.000, 0.000)
Y (0.273, 0.273, 0.280)
Y (0.727, 0.727, 0.720)
S (0.124, 0.124, 0.437)
S (0.362, 0.362, 0.997)
S (0.638, 0.638, 0.003)
S (0.876, 0.876, 0.563)

SG = C2/m

The structure with the most favorable energy is A); the runner-up is 29 meV/atom above it.

A) A plane-wave DFT calculation with PBE was carried out for a geometry-optimized Dy3YS4 structure.

Lattice parameters (Å, degrees): 5.528 5.528 5.528 90.00 90.00 90.00
Fractional coordinates of all 8 atoms:
Dy (0.000, 0.000, 0.500)
Dy (0.000, 0.500, 0.000)
Dy (0.500, 0.000, 0.000)
Y (0.500, 0.500, 0.500)
S (0.000, 0.000, 0.000)
S (0.000, 0.500, 0.500)
S (0.500, 0.000, 0.500)
S (0.500, 0.500, 0.000)

SG = Pm-3m

B) A plane-wave DFT calculation with PBE was carried out for a geometry-optimized Dy3YS4 structure.

Lattice parameters (Å, degrees): 6.788 6.788 3.878 90.00 90.00 109.12
Fractional coordinates of all 8 atoms:
Dy (0.000, 0.000, 0.000)
Dy (0.000, 0.500, 0.500)
Dy (0.500, 0.000, 0.500)
Y (0.500, 0.500, 0.000)
S (0.249, 0.249, 0.500)
S (0.250, 0.750, 0.000)
S (0.750, 0.250, 0.000)
S (0.751, 0.751, 0.500)

SG = Cmmm

The structure with the most favorable energy is B); the runner-up is 8 meV/atom above it.

A) A plane-wave DFT calculation with PBE was carried out for a geometry-optimized Dy2ZnS4 structure.

Lattice parameters (Å, degrees): 7.025 7.025 6.803 114.90 114.90 32.87
Fractional coordinates of all 7 atoms:
Dy (0.225, 0.225, 0.231)
Dy (0.775, 0.775, 0.769)
Zn (0.500, 0.500, 0.500)
S (0.137, 0.137, 0.787)
S (0.382, 0.382, 0.670)
S (0.618, 0.618, 0.330)
S (0.863, 0.863, 0.213)

SG = C2/m

B) A plane-wave DFT calculation with PBE was carried out for a geometry-optimized Dy2ZnS4 structure.

Lattice parameters (Å, degrees): 13.559 7.918 6.335 90.00 90.00 90.00
Fractional coordinates of all 28 atoms:
Dy (0.000, 0.000, 0.000)
Dy (0.000, 0.500, 0.000)
Dy (0.234, 0.250, 0.495)
Dy (0.266, 0.750, 0.995)
Dy (0.500, 0.000, 0.500)
Dy (0.500, 0.500, 0.500)
Dy (0.734, 0.250, 0.005)
Dy (0.766, 0.750, 0.505)
Zn (0.092, 0.750, 0.410)
Zn (0.408, 0.250, 0.910)
Zn (0.592, 0.750, 0.090)
Zn (0.908, 0.250, 0.590)
S (0.069, 0.250, 0.743)
S (0.090, 0.750, 0.774)
S (0.168, 0.515, 0.244)
S (0.168, 0.985, 0.244)
S (0.332, 0.015, 0.744)
S (0.332, 0.485, 0.744)
S (0.410, 0.250, 0.274)
S (0.431, 0.750, 0.243)
S (0.569, 0.250, 0.757)
S (0.590, 0.750, 0.726)
S (0.668, 0.515, 0.256)
S (0.668, 0.985, 0.256)
S (0.832, 0.015, 0.756)
S (0.832, 0.485, 0.756)
S (0.910, 0.250, 0.226)
S (0.931, 0.750, 0.257)

SG = Pnma

C) A plane-wave DFT calculation with PBE was carried out for a geometry-optimized Dy2ZnS4 structure.

Lattice parameters (Å, degrees): 7.797 7.797 7.797 60.00 60.00 60.00
Fractional coordinates of all 14 atoms:
Dy (0.000, 0.000, 0.000)
Dy (0.000, 0.000, 0.500)
Dy (0.000, 0.500, 0.000)
Dy (0.500, 0.000, 0.000)
Zn (0.375, 0.375, 0.375)
Zn (0.625, 0.625, 0.625)
S (0.245, 0.752, 0.752)
S (0.248, 0.248, 0.248)
S (0.248, 0.248, 0.755)
S (0.248, 0.755, 0.248)
S (0.752, 0.245, 0.752)
S (0.752, 0.752, 0.245)
S (0.752, 0.752, 0.752)
S (0.755, 0.248, 0.248)

SG = Fd-3m

The structure with the most favorable energy is B); the runner-up is 35 meV/atom above it.

A) A plane-wave DFT calculation with PBE was carried out for a geometry-optimized Dy2ZnS structure.

Lattice parameters (Å, degrees): 7.978 7.978 7.978 27.21 27.21 27.21
Fractional coordinates of all 4 atoms:
Dy (0.000, 0.000, 0.000)
Dy (0.158, 0.158, 0.158)
Zn (0.579, 0.579, 0.579)
S (0.747, 0.747, 0.747)

SG = R3m

B) A plane-wave DFT calculation with PBE was carried out for a geometry-optimized Dy2ZnS structure.

Lattice parameters (Å, degrees): 11.412 11.412 4.105 90.00 90.00 160.45
Fractional coordinates of all 8 atoms:
Dy (0.073, 0.927, 0.750)
Dy (0.314, 0.686, 0.750)
Dy (0.686, 0.314, 0.250)
Dy (0.927, 0.073, 0.250)
Zn (0.462, 0.538, 0.750)
Zn (0.538, 0.462, 0.250)
S (0.194, 0.806, 0.750)
S (0.806, 0.194, 0.250)

SG = Cmcm

C) A plane-wave DFT calculation with PBE was carried out for a geometry-optimized Dy2ZnS structure.

Lattice parameters (Å, degrees): 9.497 9.497 9.497 22.42 22.42 22.42
Fractional coordinates of all 4 atoms:
Dy (0.108, 0.108, 0.108)
Dy (0.892, 0.892, 0.892)
Zn (0.000, 0.000, 0.000)
S (0.500, 0.500, 0.500)

SG = R-3m

The structure with the most favorable energy is B); the runner-up is 169 meV/atom above it.